[1]
Below is DyNF3 after structural relaxation, with properties calculated at the PBE-GGA level.

Output
formation energy from raw total energies = -2.18 eV per atom
total energy = -58.893 eV for the cell shown
calculated density = 3786 kg/m³
calculated volume = 20.48 Å³ per atom

CIF file:
```
data_DyNF3
_cell_length_a 4.380
_cell_length_b 7.088
_cell_length_c 6.598
_cell_angle_alpha 90.00
_cell_angle_beta 90.01
_cell_angle_gamma 90.00
_symmetry_space_group_name_H-M 'P 1 21/m 1'
_symmetry_Int_Tables_number 11
_symmetry_space_group_name_Hall '-P 2yb'
loop_
_atom_site_label
_atom_site_fract_x
_atom_site_fract_y
_atom_site_fract_z
Dy1 0.001 0.250 0.496
N1 0.488 0.250 0.995
F1 0.000 0.003 0.701
F2 0.499 0.750 0.507
```

[2]
Below is CaAcYTl after structural relaxation, with properties calculated at the PBE-GGA level.

Output
total energy = -58.801 eV for the cell shown
calculated density = 6872 kg/m³
energy of formation from the pure elements = 0.060 eV per atom
calculated volume = 33.85 Å³ per atom

CIF file:
```
data_CaAcYTl
_cell_length_a 8.151
_cell_length_b 8.151
_cell_length_c 8.151
_cell_angle_alpha 90.00
_cell_angle_beta 90.00
_cell_angle_gamma 90.00
_symmetry_space_group_name_H-M 'F -4 3 m'
_symmetry_Int_Tables_number 216
_symmetry_space_group_name_Hall 'F -4 2 3'
loop_
_atom_site_label
_atom_site_fract_x
_atom_site_fract_y
_atom_site_fract_z
Ca1 0.000 0.000 0.000
Ac1 0.250 0.250 0.750
Y1 0.000 0.000 0.500
Tl1 0.250 0.250 0.250
```

[3]
Below is SmNi3P2 after structural relaxation, with properties calculated at the PBE-GGA level.

Output
total energy = -229.926 eV for the cell shown
calculated density = 7713 kg/m³
energy of formation from the pure elements = -0.906 eV per atom
calculated volume = 13.94 Å³ per atom

CIF file:
```
data_SmNi3P2
_cell_length_a 15.140
_cell_length_b 3.762
_cell_length_c 9.204
_cell_angle_alpha 90.00
_cell_angle_beta 106.84
_cell_angle_gamma 90.00
_symmetry_space_group_name_H-M 'C 1 2/m 1'
_symmetry_Int_Tables_number 12
_symmetry_space_group_name_Hall '-C 2y'
loop_
_atom_site_label
_atom_site_fract_x
_atom_site_fract_y
_atom_site_fract_z
Sm1 0.000 0.000 0.000
Sm2 0.154 0.000 0.701
Ni1 0.000 0.500 0.500
Ni2 0.048 0.000 0.342
Ni3 0.131 0.500 0.210
Ni4 0.175 0.500 0.969
Ni5 0.219 0.000 0.394
P1 0.030 0.500 0.779
P2 0.140 0.500 0.452
P3 0.201 0.000 0.130
```

[4]
Below is Sr3Ca2Sb3 after structural relaxation, with properties calculated at the PBE-GGA level.

Output
formation energy from raw total energies = -0.99 eV per atom
total energy = -58.669 eV for the cell shown
calculated density = 4268 kg/m³
calculated volume = 34.45 Å³ per atom

CIF file:
```
data_Sr3Ca2Sb3
_cell_length_a 9.4412
_cell_length_b 9.4412
_cell_length_c 7.1394
_cell_angle_alpha 90.00
_cell_angle_beta 90.00
_cell_angle_gamma 120.00
_symmetry_space_group_name_H-M 'P 63/m c m'
_symmetry_Int_Tables_number 193
_symmetry_space_group_name_Hall '-P 6c 2'
loop_
_atom_site_label
_atom_site_fract_x
_atom_site_fract_y
_atom_site_fract_z
Sr1 0.0000 0.2539 0.2500
Ca1 0.3333 0.6667 0.0000
Sb1 0.0000 0.3928 0.7500
```

[5]
Below is Li2Nd2TmCd5 after structural relaxation, with properties calculated at the PBE-GGA level.

Output
total energy = -50.569 eV for the cell shown
calculated density = 7268 kg/m³
energy of formation from the pure elements = -0.287 eV per atom
calculated volume = 23.61 Å³ per atom

CIF file:
```
data_Li2Nd2TmCd5
_cell_length_a 10.719
_cell_length_b 10.719
_cell_length_c 4.110
_cell_angle_alpha 90.00
_cell_angle_beta 90.00
_cell_angle_gamma 90.00
_symmetry_space_group_name_H-M 'P 4/m b m'
_symmetry_Int_Tables_number 127
_symmetry_space_group_name_Hall '-P 4 2ab'
loop_
_atom_site_label
_atom_site_fract_x
_atom_site_fract_y
_atom_site_fract_z
Li1 0.115 0.385 0.000
Nd1 0.181 0.681 0.000
Tm1 0.000 0.000 0.000
Cd1 0.000 0.500 0.500
Cd2 0.059 0.214 0.500
```

[6]
Below is Ac3Si2Pd4 after structural relaxation, with properties calculated at the PBE-GGA level.

Output
formation energy from raw total energies = -0.84 eV per atom
total energy = -102.949 eV for the cell shown
calculated density = 8975 kg/m³
offset from the most stable computed form = 0.013 eV per atom
calculated volume = 23.90 Å³ per atom

CIF file:
```
data_Ac3Si2Pd4
_cell_length_a 11.640
_cell_length_b 4.404
_cell_length_c 9.098
_cell_angle_alpha 90.00
_cell_angle_beta 112.71
_cell_angle_gamma 90.00
_symmetry_space_group_name_H-M 'C 1 2/m 1'
_symmetry_Int_Tables_number 12
_symmetry_space_group_name_Hall '-C 2y'
loop_
_atom_site_label
_atom_site_fract_x
_atom_site_fract_y
_atom_site_fract_z
Ac1 0.000 0.000 0.000
Ac2 0.128 0.500 0.694
Si1 0.153 0.500 0.312
Pd1 0.151 0.000 0.433
Pd2 0.215 0.500 0.076
```

Question: Among the records above, which one has the lowest calculated density?
Answer: DyNF3

Question: calculated volume of number 5 (Li2Nd2TmCd5)?
Answer: 23.61 Å³ per atom

Question: Among the records above, which one has the lowest total energy?
Answer: SmNi3P2